A plane-wave DFT calculation with PBE was carried out for a relaxed structure of KAcPuI6.

Geometry as POSCAR:
```
KAcPuI6
1.0
7.8968 -0.0006 0.0000
-0.0006 7.8968 0.0000
0.0000 0.0000 14.9133
I K Ac Pu
12 2 2 2
Cartesian
6.4143 1.4819 7.4954 I
1.6535 6.2426 2.6646 I
1.6260 6.2702 12.2156 I
6.2702 1.6260 12.2156 I
2.3227 2.3227 4.7679 I
6.2426 1.6535 2.6646 I
2.4684 2.4684 0.0367 I
1.4819 6.4143 7.4954 I
2.2939 2.2939 10.1149 I
5.5735 5.5735 4.7679 I
5.4278 5.4278 0.0367 I
5.6023 5.6023 10.1149 I
0.0000 0.0000 14.9007 K
3.9481 3.9481 7.4476 K
3.9481 3.9481 12.4253 Ac
0.0000 0.0000 4.9753 Ac
0.0000 0.0000 9.9379 Pu
3.9481 3.9481 2.4859 Pu
```

Computed properties:
DFT total energy ... -40.69 eV per formula unit
Formation energy from raw total energies ... -1.317 eV/atom
Magnetic moment ... 0.001 μB/f.u.